MnCrNi after structural relaxation, computed with GGA-PBEsol.

Output
- DOS(E_F): 1.512 states/eV per atom
- Energy relative to the elements: 0.148 eV/atom
- V: 10.6 Å³ per atom

Lattice parameters (Å, degrees): 2.4384 2.4384 6.1787 90.00 90.00 120.00
Closest atoms and distances in Å follow each position.
Fractional coordinates of all 3 atoms:
Cr1 0.0000 0.0000 0.0008  6 Cr 2.44, 3 Ni 2.50, 3 Mn 2.51
Mn1 0.3333 0.6667 0.6639  6 Mn 2.44, 3 Ni 2.47, 3 Cr 2.51
Ni1 0.6667 0.3333 0.3353  6 Ni 2.44, 3 Mn 2.47, 3 Cr 2.50